First-principles (GGA-PBE) data for a geometry-optimized In2Pt2Rh structure, as listed in the Alexandria database.

Results
The space group is C2/m. Its excess energy over the best structure of this formula in the dataset is 0.0 kJ/mol of atoms. As for the total energy: -5.280 eV/atom. The value obtained for the density of states at the Fermi level is 3.0 states/eV/f.u. The calculation puts the energy of formation at -0.30 eV per atom. The calculation puts the spin magnetization at 0.00 μB/f.u.

Cell: 4.4734 4.4734 5.6399 Å, 90.03 113.28 120.06°
Fractional coordinates of all 5 atoms:
Rh  0.0000  0.0000  0.0000
Pt  0.4166  0.2076  0.6242
Pt  0.5834  0.7924  0.3758
In  0.2019  0.6005  0.8023
In  0.7981  0.3995  0.1977